Record 1
An optimized crystal structure of BiRhPb2O5. Source: the Alexandria database, functional PBE-GGA.

Lattice parameters (Å, degrees): 9.142 9.142 9.759 90.00 90.00 158.69
Positions (direct):
Bi 0.019 0.981 0.500
Bi 0.981 0.019 0.000
Rh 0.290 0.710 0.972
Rh 0.710 0.290 0.472
Pb 0.338 0.662 0.668
Pb 0.355 0.645 0.292
Pb 0.645 0.355 0.792
Pb 0.662 0.338 0.168
O 0.037 0.963 0.814
O 0.177 0.823 0.981
O 0.212 0.788 0.604
O 0.216 0.784 0.339
O 0.407 0.593 0.952
O 0.593 0.407 0.452
O 0.784 0.216 0.839
O 0.788 0.212 0.104
O 0.823 0.177 0.481
O 0.963 0.037 0.314

Computed properties:
Formation energy from raw total energies: -883 meV/atom
Space-group type: Cmc2_1

---

Record 2
An optimized crystal structure of Nd3Mg2Pb3. Source: the Alexandria database, functional PBE-GGA.

Lattice parameters (Å, degrees): 4.492 4.825 21.311 90.00 90.00 90.00
Positions (direct):
Nd 0.000 0.000 0.000
Nd 0.000 0.500 0.126
Nd 0.000 0.500 0.874
Nd 0.500 0.000 0.374
Nd 0.500 0.000 0.626
Nd 0.500 0.500 0.500
Mg 0.000 0.000 0.250
Mg 0.000 0.000 0.750
Mg 0.500 0.500 0.250
Mg 0.500 0.500 0.750
Pb 0.000 0.000 0.500
Pb 0.000 0.500 0.352
Pb 0.000 0.500 0.648
Pb 0.500 0.000 0.148
Pb 0.500 0.000 0.852
Pb 0.500 0.500 0.000

Computed properties:
Energy: -3.9536 eV per atom
Space-group type: Immm

---

Record 3
An optimized crystal structure of Ti3VAg. Source: the Alexandria database, functional PBE-GGA.

Lattice parameters (Å, degrees): 4.559 4.559 4.559 90.00 90.00 90.00
Positions (direct):
Ti 0.000 0.000 0.500
Ti 0.000 0.500 0.000
Ti 0.500 0.000 0.000
V 0.000 0.000 0.000
Ag 0.500 0.500 0.500

Computed properties:
ΔE to the lowest computed polymorph: 0 meV/atom
Space-group type: Pm-3m

---

Record 4
An optimized crystal structure of AuS4I. Source: the Alexandria database, functional PBE-GGA.

Lattice parameters (Å, degrees): 4.121 9.704 9.890 87.81 88.67 80.33
Positions (direct):
Au 0.112 0.241 0.106
Au 0.888 0.759 0.894
S 0.058 0.423 0.254
S 0.168 0.057 0.962
S 0.332 0.945 0.534
S 0.395 0.535 0.184
S 0.605 0.465 0.816
S 0.668 0.055 0.466
S 0.832 0.943 0.038
S 0.942 0.577 0.746
I 0.363 0.737 0.357
I 0.637 0.263 0.643

Computed properties:
Formation energy from raw total energies: 157 meV/atom
Space-group type: P-1

---

Record 5
An optimized crystal structure of RbTlCd2Sn2. Source: the Alexandria database, functional PBE-GGA.

Lattice parameters (Å, degrees): 5.195 5.195 8.414 90.00 90.00 120.00
Positions (direct):
Rb 0.000 0.000 0.000
Tl 0.000 0.000 0.500
Cd 0.333 0.667 0.686
Cd 0.667 0.333 0.314
Sn 0.333 0.667 0.298
Sn 0.667 0.333 0.702

Computed properties:
Energy: -2.2271 eV per atom
Space-group type: P-3m1

---

Record 6
An optimized crystal structure of Tb2Zn5Cu12. Source: the Alexandria database, functional PBE-GGA.

Lattice parameters (Å, degrees): 6.559 6.559 6.559 82.59 82.59 82.59
Positions (direct):
Tb 0.149 0.149 0.149
Tb 0.851 0.851 0.851
Zn 0.000 0.500 0.500
Zn 0.401 0.401 0.401
Zn 0.500 0.000 0.500
Zn 0.500 0.500 0.000
Zn 0.599 0.599 0.599
Cu 0.152 0.152 0.657
Cu 0.152 0.657 0.152
Cu 0.198 0.500 0.802
Cu 0.198 0.802 0.500
Cu 0.343 0.848 0.848
Cu 0.500 0.198 0.802
Cu 0.500 0.802 0.198
Cu 0.657 0.152 0.152
Cu 0.802 0.198 0.500
Cu 0.802 0.500 0.198
Cu 0.848 0.343 0.848
Cu 0.848 0.848 0.343

Computed properties:
Energy: -3.5738 eV per atom
Space-group type: R-3m

---

Record 7
An optimized crystal structure of LaP2IrS. Source: the Alexandria database, functional PBE-GGA.

Lattice parameters (Å, degrees): 5.492 5.492 5.294 90.00 90.00 90.00
Positions (direct):
La 0.000 0.000 0.000
P 0.000 0.500 0.000
P 0.500 0.000 0.000
Ir 0.500 0.500 0.500
S 0.000 0.000 0.500

Computed properties:
Formation energy from raw total energies: 1557 meV/atom
ΔE to the lowest computed polymorph: 2008 meV/atom
Space-group type: P4/mmm

---

Record 8
An optimized crystal structure of Sr2TeCl2. Source: the Alexandria database, functional PBE-GGA.

Lattice parameters (Å, degrees): 4.823 4.823 8.137 90.00 90.00 120.00
Positions (direct):
Sr 0.333 0.667 0.261
Sr 0.667 0.333 0.739
Te 0.000 0.000 0.500
Cl 0.333 0.667 0.872
Cl 0.667 0.333 0.128

Computed properties:
Formation energy from raw total energies: -2181 meV/atom
Space-group type: P-3m1

---

Record 9
An optimized crystal structure of Pm2Ho3Sn3. Source: the Alexandria database, functional PBE-GGA.

Lattice parameters (Å, degrees): 9.051 9.051 6.661 90.00 90.00 120.00
Positions (direct):
Pm 0.333 0.667 0.000
Pm 0.333 0.667 0.500
Pm 0.667 0.333 0.000
Pm 0.667 0.333 0.500
Ho 0.000 0.237 0.250
Ho 0.000 0.763 0.750
Ho 0.237 0.000 0.250
Ho 0.237 0.237 0.750
Ho 0.763 0.000 0.750
Ho 0.763 0.763 0.250
Sn 0.000 0.391 0.750
Sn 0.000 0.609 0.250
Sn 0.391 0.000 0.750
Sn 0.391 0.391 0.250
Sn 0.609 0.000 0.250
Sn 0.609 0.609 0.750

Computed properties:
Energy: -5.0945 eV per atom
Space-group type: P6_3/mcm

---

Record 10
An optimized crystal structure of CsK2Ag. Source: the Alexandria database, functional PBE-GGA.

Lattice parameters (Å, degrees): 5.751 5.751 6.546 90.00 90.00 90.00
Positions (direct):
Cs 0.000 0.000 0.000
K 0.000 0.500 0.500
K 0.500 0.000 0.500
Ag 0.500 0.500 0.000

Computed properties:
ΔE to the lowest computed polymorph: 80 meV/atom
Space-group type: P4/mmm

---

Record 11
An optimized crystal structure of TcRuSeBr2. Source: the Alexandria database, functional PBE-GGA.

Lattice parameters (Å, degrees): 5.246 5.246 4.667 90.00 90.00 90.00
Positions (direct):
Tc 0.000 0.000 0.000
Ru 0.500 0.500 0.500
Se 0.000 0.000 0.500
Br 0.000 0.500 0.000
Br 0.500 0.000 0.000

Computed properties:
Formation energy from raw total energies: 996 meV/atom
ΔE to the lowest computed polymorph: 93 meV/atom
Space-group type: P4/mmm

---

Record 12
An optimized crystal structure of Al5Sn3Hg12. Source: the Alexandria database, functional PBE-GGA.

Lattice parameters (Å, degrees): 14.246 14.246 14.246 109.47 109.47 109.47
Positions (direct):
Al 0.000 0.000 0.000
Al 0.000 0.000 0.500
Al 0.000 0.500 0.000
Al 0.000 0.500 0.500
Al 0.125 0.750 0.875
Al 0.125 0.875 0.250
Al 0.250 0.125 0.875
Al 0.250 0.625 0.375
Al 0.375 0.250 0.625
Al 0.375 0.625 0.750
Al 0.500 0.000 0.000
Al 0.500 0.000 0.500
Al 0.500 0.500 0.000
Al 0.500 0.500 0.500
Al 0.625 0.375 0.250
Al 0.625 0.750 0.375
Al 0.750 0.375 0.625
Al 0.750 0.875 0.125
Al 0.875 0.125 0.750
Al 0.875 0.250 0.125
Sn 0.125 0.250 0.375
Sn 0.125 0.375 0.750
Sn 0.250 0.375 0.125
Sn 0.250 0.875 0.625
Sn 0.375 0.125 0.250
Sn 0.375 0.750 0.125
Sn 0.625 0.250 0.875
Sn 0.625 0.875 0.750
Sn 0.750 0.125 0.375
Sn 0.750 0.625 0.875
Sn 0.875 0.625 0.250
Sn 0.875 0.750 0.625
Hg 0.047 0.222 0.123
Hg 0.047 0.325 0.924
Hg 0.076 0.623 0.401
Hg 0.076 0.953 0.675
Hg 0.099 0.722 0.675
Hg 0.099 0.877 0.424
Hg 0.123 0.047 0.222
Hg 0.123 0.576 0.901
Hg 0.175 0.222 0.599
Hg 0.175 0.453 0.576
Hg 0.222 0.123 0.047
Hg 0.222 0.599 0.175
Hg 0.278 0.325 0.901
Hg 0.278 0.453 0.377
Hg 0.325 0.901 0.278
Hg 0.325 0.924 0.047
Hg 0.377 0.278 0.453
Hg 0.377 0.599 0.924
Hg 0.401 0.076 0.623
Hg 0.401 0.825 0.778
Hg 0.424 0.099 0.877
Hg 0.424 0.825 0.547
Hg 0.453 0.377 0.278
Hg 0.453 0.576 0.175
Hg 0.547 0.424 0.825
Hg 0.547 0.623 0.722
Hg 0.576 0.175 0.453
Hg 0.576 0.901 0.123
Hg 0.599 0.175 0.222
Hg 0.599 0.924 0.377
Hg 0.623 0.401 0.076
Hg 0.623 0.722 0.547
Hg 0.675 0.076 0.953
Hg 0.675 0.099 0.722
Hg 0.722 0.547 0.623
Hg 0.722 0.675 0.099
Hg 0.778 0.401 0.825
Hg 0.778 0.877 0.953
Hg 0.825 0.547 0.424
Hg 0.825 0.778 0.401
Hg 0.877 0.424 0.099
Hg 0.877 0.953 0.778
Hg 0.901 0.123 0.576
Hg 0.901 0.278 0.325
Hg 0.924 0.047 0.325
Hg 0.924 0.377 0.599
Hg 0.953 0.675 0.076
Hg 0.953 0.778 0.877

Computed properties:
Energy: -1.5077 eV per atom
Space-group type: Ia-3d